Compound: CrCd2MoO6
Source: Alexandria via LeMat-Bulk
Functional: PBE+U
Structure: optimized geometry

```
CrCd2MoO6
1.0
-0.283 3.348 -2.329
-4.925 -1.783 -1.965
-2.626 2.670 4.156
Cd O Cr Mo
2 6 1 1
Direct
0.027 0.500 0.000
0.027 0.000 0.500
0.163 0.000 0.000
0.698 0.754 0.246
0.173 0.500 0.500
0.698 0.754 0.754
0.698 0.246 0.754
0.698 0.246 0.246
0.662 0.500 0.500
0.603 0.000 0.000
```

Calculated values
- Magnetic moment: 3.976 μB per cell
- Total DFT energy (no corrections): -5.89 eV per atom
- V: 12.79 Å³ per atom